DFT (GGA-PBE) results for TaNbHg3 after structural relaxation.

Output
Polymorph energy (0 for the lowest one) (meV per atom): 0
Space-group type: Pm-3m (221)
Magnetic moment (Bohr magnetons per cell): 0.0
Energy of formation (eV/atom): 1.637

abc: 5.1992 5.1992 5.1992
angles: 90.00 90.00 90.00
Last column: nearest neighbours and their distance in Å.
Atoms (fractional coordinates):
1 Ta 0.0000 0.0000 0.0000  6 Hg 2.60
2 Nb 0.5000 0.5000 0.5000  12 Hg 3.68
3 Hg 0.0000 0.0000 0.5000  2 Ta 2.60
4 Hg 0.0000 0.5000 0.0000  2 Ta 2.60
5 Hg 0.5000 0.0000 0.0000  2 Ta 2.60